Mg14SnW | GGA-PBE | optimized geometry

Cell: 6.2869 6.2869 10.0711 Å, 90.00 90.00 120.00°
Fractional coordinates of all 16 atoms:
Mg: 0.6786 0.8393 0.2597
Mg: 0.1607 0.8393 0.2597
Mg: 0.5007 0.4993 0.5000
Mg: 0.4993 0.9985 0.0000
Mg: 0.6786 0.8393 0.7403
Mg: 0.9986 0.4993 0.5000
Mg: 0.0015 0.5007 0.0000
Mg: 0.6667 0.3333 0.7526
Sn: 0.0000 0.0000 0.0000
Mg: 0.6667 0.3333 0.2474
W: 0.0000 0.0000 0.5000
Mg: 0.1607 0.8393 0.7403
Mg: 0.5007 0.0014 0.5000
Mg: 0.1607 0.3214 0.2597
Mg: 0.1607 0.3214 0.7403
Mg: 0.4993 0.5007 0.0000

The value obtained for the energy above the most stable polymorph in this dataset is 0.0000 eV/atom. For the electronic total energy, the calculation gives -0.1724 Ry/atom. Its space group is P-6m2 (187). As for the spin magnetization: 0.0 μB/cell. Its calculated formation energy is 109 meV/atom.

---

MgSn3W | GGA-PBE | optimized geometry

Cell: 5.3061 5.3061 5.3061 Å, 90.00 90.00 90.00°
Fractional coordinates of all 5 atoms:
W: 0.0000 0.0000 0.0000
Sn: 0.0000 0.0000 0.5000
Mg: 0.5000 0.5000 0.5000
Sn: 0.5000 0.0000 0.0000
Sn: 0.0000 0.5000 0.0000

The value obtained for the energy above the most stable polymorph in this dataset is 0.0000 eV/atom. For the electronic total energy, the calculation gives -0.3577 Ry/atom. Its space group is Pm-3m (221). As for the spin magnetization: 0.0 μB/cell. Its calculated formation energy is 444 meV/atom.

---

Mg6SnW | GGA-PBE | optimized geometry

Cell: 6.1637 6.1637 4.9943 Å, 90.00 90.00 120.33°
Fractional coordinates of all 8 atoms:
W: 0.3298 0.6702 0.5000
Mg: 0.1800 0.3465 0.0000
Mg: 0.8328 0.1672 0.5000
Mg: 0.8225 0.6667 0.5000
Sn: 0.1787 0.8213 0.0000
Mg: 0.3333 0.1775 0.5000
Mg: 0.6693 0.3307 0.0000
Mg: 0.6535 0.8200 0.0000

The value obtained for the energy above the most stable polymorph in this dataset is 0.0000 eV/atom. For the electronic total energy, the calculation gives -0.2280 Ry/atom. Its space group is Amm2 (38). As for the spin magnetization: 0.0 μB/cell. Its calculated formation energy is 213 meV/atom.